No. 1
# PuZrRuAu

A relaxed structure of PuZrRuAu (PBE-GGA, Alexandria).

Calculated values
Calculated formation energy (eV/f.u.): -1.0
DOS(E_F) (states/eV/f.u.): 9.98

CIF file:
```
data_PuZrRuAu
_space_group_name_H-M_alt 'F -4 3 m'
_space_group_IT_number 216
_space_group_name_Hall 'F -4 2 3'
_cell_length_a 6.872
_cell_length_b 6.872
_cell_length_c 6.872
_cell_angle_alpha 90.00
_cell_angle_beta 90.00
_cell_angle_gamma 90.00
loop_
_atom_site_label
_atom_site_type_symbol
_atom_site_fract_x
_atom_site_fract_y
_atom_site_fract_z
Pu1 Pu 0.000 0.000 0.000
Zr1 Zr 0.000 0.000 0.500
Ru1 Ru 0.250 0.250 0.250
Au1 Au 0.250 0.250 0.750
```

No. 2
# TiInPtO6

A relaxed structure of TiInPtO6 (PBE-GGA, Alexandria).

Calculated values
DOS(E_F) (states/eV/f.u.): 5.28
Raw formation energy (eV per formula unit): -13.7

CIF file:
```
data_TiInPtO6
_space_group_name_H-M_alt 'P 42 n m'
_space_group_IT_number 102
_space_group_name_Hall 'P 4n -2n'
_cell_length_a 4.729
_cell_length_b 4.729
_cell_length_c 9.530
_cell_angle_alpha 90.00
_cell_angle_beta 90.00
_cell_angle_gamma 90.00
loop_
_atom_site_label
_atom_site_type_symbol
_atom_site_fract_x
_atom_site_fract_y
_atom_site_fract_z
Ti1 Ti 0.000 0.000 0.000
In1 In 0.000 0.000 0.331
Pt1 Pt 0.000 0.000 0.664
O1 O 0.179 0.179 0.835
O2 O 0.202 0.202 0.509
O3 O 0.204 0.204 0.152
```

No. 3
# CaZrTiMo2

A relaxed structure of CaZrTiMo2 (PBE-GGA, Alexandria).

Calculated values
Calculated formation energy (eV/f.u.): 5.0
DOS(E_F) (states/eV/f.u.): 6.39

CIF file:
```
data_CaZrTiMo2
_space_group_name_H-M_alt 'P 4/m m m'
_space_group_IT_number 123
_space_group_name_Hall '-P 4 2'
_cell_length_a 4.688
_cell_length_b 4.688
_cell_length_c 5.112
_cell_angle_alpha 90.00
_cell_angle_beta 90.00
_cell_angle_gamma 90.00
loop_
_atom_site_label
_atom_site_type_symbol
_atom_site_fract_x
_atom_site_fract_y
_atom_site_fract_z
Ca1 Ca 0.000 0.000 0.000
Zr1 Zr 0.500 0.500 0.000
Ti1 Ti 0.500 0.500 0.500
Mo1 Mo 0.000 0.500 0.500
```

No. 4
# KThSiO5

A relaxed structure of KThSiO5 (PBE-GGA, Alexandria).

Calculated values
DOS(E_F) (states/eV/f.u.): 6.78
Raw formation energy (eV per formula unit): -21.6

CIF file:
```
data_KThSiO5
_space_group_name_H-M_alt 'C 1 2/c 1'
_space_group_IT_number 15
_space_group_name_Hall '-C 2yc'
_cell_length_a 7.463
_cell_length_b 9.771
_cell_length_c 8.314
_cell_angle_alpha 90.00
_cell_angle_beta 114.25
_cell_angle_gamma 90.00
loop_
_atom_site_label
_atom_site_type_symbol
_atom_site_fract_x
_atom_site_fract_y
_atom_site_fract_z
K1 K 0.000 0.164 0.250
Th1 Th 0.000 0.500 0.000
Si1 Si 0.000 0.183 0.750
O1 O 0.000 0.433 0.250
O2 O 0.081 0.282 0.633
O3 O 0.176 0.082 0.882
```

No. 5
# Si2Au3

A relaxed structure of Si2Au3 (PBE-GGA, Alexandria).

Calculated values
DOS(E_F) (states/eV/f.u.): 1.27
Raw formation energy (eV per formula unit): 0.4

CIF file:
```
data_Si2Au3
_space_group_name_H-M_alt 'F d d 2'
_space_group_IT_number 43
_space_group_name_Hall 'F 2 -2d'
_cell_length_a 12.912
_cell_length_b 13.187
_cell_length_c 4.479
_cell_angle_alpha 90.00
_cell_angle_beta 90.00
_cell_angle_gamma 90.00
loop_
_atom_site_label
_atom_site_type_symbol
_atom_site_fract_x
_atom_site_fract_y
_atom_site_fract_z
Si1 Si 0.072 0.183 0.000
Au1 Au 0.000 0.000 0.972
Au2 Au 0.015 0.363 0.976
```

No. 6
# Pr2Cu15Pd2

A relaxed structure of Pr2Cu15Pd2 (PBE-GGA, Alexandria).

Calculated values
Calculated formation energy (eV/f.u.): -3.1
DOS(E_F) (states/eV/f.u.): 8.39

CIF file:
```
data_Pr2Cu15Pd2
_space_group_name_H-M_alt 'R -3 m'
_space_group_IT_number 166
_space_group_name_Hall '-R 3 2"'
_cell_length_a 8.7283
_cell_length_b 8.7283
_cell_length_c 12.6413
_cell_angle_alpha 90.00
_cell_angle_beta 90.00
_cell_angle_gamma 120.00
loop_
_atom_site_label
_atom_site_type_symbol
_atom_site_fract_x
_atom_site_fract_y
_atom_site_fract_z
Pr1 Pr 0.0000 0.0000 0.1610
Cu1 Cu 0.0000 0.2924 0.5000
Cu2 Cu 0.0000 0.5000 0.0000
Cu3 Cu 0.0021 0.5010 0.6538
Pd1 Pd 0.0000 0.0000 0.3954
```

no.,VASP energy (eV per formula unit)
1,-36.4
2,-60.1
3,-35.2
4,-60.3
5,-20.3
6,-84.5